Record 1
A relaxed structure of K2HI2ClO6, computed with GGA-PBE.

a b c (Å): 6.6988 8.8124 15.1362
angles (deg): 90.00 90.00 90.00
Fractional coordinates of all 48 atoms:
1 O 0.1872 0.9365 0.8871
2 O 0.8128 0.4365 0.1129
3 O 0.2901 0.5118 0.7872
4 O 0.5474 0.7009 0.0539
5 O 0.6580 0.9564 0.8709
6 O 0.5474 0.2009 0.4461
7 O 0.7391 0.5330 0.4603
8 O 0.2609 0.0330 0.5397
9 O 0.3420 0.4564 0.1291
10 O 0.1872 0.4365 0.6129
11 O 0.9851 0.1947 0.3046
12 O 0.7099 0.5118 0.2872
13 O 0.4526 0.2009 0.9461
14 O 0.0149 0.6947 0.6954
15 O 0.2901 0.0118 0.7128
16 O 0.2609 0.5330 0.9603
17 O 0.3420 0.9564 0.3709
18 O 0.7391 0.0330 0.0397
19 O 0.9851 0.6947 0.1954
20 O 0.7099 0.0118 0.2128
21 O 0.4526 0.7009 0.5539
22 O 0.8128 0.9365 0.3871
23 O 0.6580 0.4564 0.6291
24 O 0.0149 0.1947 0.8046
25 I 0.0656 0.9955 0.7818
26 I 0.9344 0.4955 0.2182
27 I 0.5020 0.5011 0.5344
28 I 0.0656 0.4955 0.7182
29 I 0.4980 0.0011 0.4656
30 I 0.5020 0.0011 0.9656
31 I 0.4980 0.5011 0.0344
32 I 0.9344 0.9955 0.2818
33 K 0.4377 0.2530 0.2656
34 K 0.5623 0.7530 0.7344
35 K 0.4377 0.7530 0.2344
36 K 0.0240 0.2612 0.9856
37 K 0.9760 0.7612 0.0144
38 K 0.9760 0.2612 0.4856
39 K 0.0240 0.7612 0.5144
40 K 0.5623 0.2530 0.7656
41 Cl 0.7781 0.0289 0.6250
42 Cl 0.2219 0.5289 0.3750
43 Cl 0.2219 0.0289 0.1250
44 Cl 0.7781 0.5289 0.8750
45 H 0.7157 0.5248 0.3936
46 H 0.2843 0.5248 0.8936
47 H 0.7157 0.0248 0.1064
48 H 0.2843 0.0248 0.6064

Output
Space-group type: Pca2_1 (29)
Calculated density: 3.45 Mg/m³
Crystal system: orthorhombic

***

Record 2
A relaxed structure of AgOsCl2, computed with GGA-PBE.

a b c (Å): 3.0307 3.0307 9.4798
angles (deg): 90.00 90.00 90.00
Each line ends with the local moment (μB).
Fractional coordinates of all 4 atoms:
1 Os 0.5000 0.5000 0.2500  2.54
2 Ag 0.5000 0.5000 0.7500  0.00
3 Cl 0.0000 0.0000 0.4278  0.23
4 Cl 0.0000 0.0000 0.0722  0.23

Output
Formation energy from raw total energies: 924 meV/atom
Space-group type: P4/mmm (123)
Calculated density: 7.04 Mg/m³
Crystal system: tetragonal
Relative energy among the computed polymorphs: 0.675 eV per atom

***

Record 3
A relaxed structure of TbSm3Tm3, computed with GGA-PBE.

a b c (Å): 5.6885 9.5652 9.5641
angles (deg): 120.00 90.00 90.00
Fractional coordinates of all 14 atoms:
1 Tm 0.7500 0.4780 0.3830
2 Tm 0.2500 0.3831 0.9049
3 Tm 0.2500 0.5220 0.6170
4 Tm 0.7500 0.6169 0.0951
5 Tm 0.7500 0.9048 0.5217
6 Tm 0.2500 0.0952 0.4783
7 Sm 0.7500 0.0492 0.2421
8 Sm 0.2500 0.9508 0.7579
9 Sm 0.2500 0.2419 0.1928
10 Sm 0.7500 0.7581 0.8072
11 Sm 0.7500 0.1927 0.9507
12 Sm 0.2500 0.8073 0.0493
13 Tb 0.2500 0.6666 0.3333
14 Tb 0.7500 0.3334 0.6667

Output
Space-group type: P6_3/m (176)
Calculated density: 8.23 Mg/m³
Crystal system: hexagonal
Calculated formation energy: 1.5 kJ/mol of atoms
Relative energy among the computed polymorphs: 0.000 eV per atom

***

no.,total energy (eV/atom)
1,-4.30
2,-3.52
3,-4.59